Material: CrSnRhO6
Method: DFT, PBE with a Hubbard U
State: optimized geometry

abc: 4.6449 4.6449 9.4424
angles: 90.00 90.00 90.00
Closest atoms and distances in Å follow each position.
Space group P4_2nm (No. 102)
Asymmetric unit:
Cr 0.0000 0.0000 0.0000  6 O 1.98-2.00
Sn 0.0000 0.0000 0.3317  6 O 2.07-2.08
Rh 0.0000 0.0000 0.6654  6 O 1.98-2.00
O 0.1852 0.1852 0.8338  1 Cr 1.99, 1 Rh 2.00, 1 Sn 2.07
O 0.1980 0.1980 0.5042  1 Cr 1.98, 1 Rh 2.00, 1 Sn 2.08
O 0.1989 0.1989 0.1603  1 Rh 1.98, 1 Cr 2.00, 1 Sn 2.08

Calculated values
DFT total energy, eV for the cell shown: -120.3
Total magnetization, μB per cell: 2.04
D(E_F), states/eV/atom: 0.182